# 1
Density functional theory data (GGA-PBE) for a relaxed structure of La2AuCl.

Properties
Crystal system: orthorhombic
Total moment: 0.0 μB/f.u.
ΔE to the lowest computed polymorph: 0.41 eV per formula unit
Electronic total energy: -19.4 eV per formula unit
Formation energy from raw total energies: -1095 meV per atom

Lattice parameters (Å, degrees): 6.712 6.712 4.386 89.95 89.95 35.05
Element x y z (fractional)
Cl (0.245, 0.245, 0.125)
Au (0.486, 0.486, 0.625)
La (0.016, 0.016, 0.125)
La (0.753, 0.753, 0.625)



# 2
Density functional theory data (GGA-PBE) for a relaxed structure of SmIn2SbO8.

Properties
Crystal system: orthorhombic
Total moment: 2.0 μB/f.u.
Electronic total energy: -73.2 eV per formula unit
Formation energy from raw total energies: -1598 meV per atom

Lattice parameters (Å, degrees): 4.933 4.930 6.940 90.00 90.00 89.54
Element x y z (fractional)
Sm (0.000, 0.000, 0.500)
In (0.500, 0.500, 0.760)
In (0.500, 0.500, 0.240)
Sb (0.000, 0.000, 0.000)
O (0.190, 0.811, 0.217)
O (0.711, 0.711, 0.000)
O (0.810, 0.189, 0.217)
O (0.810, 0.189, 0.783)
O (0.289, 0.289, 0.000)
O (0.190, 0.811, 0.783)
O (0.678, 0.677, 0.500)
O (0.322, 0.323, 0.500)



# 3
Density functional theory data (GGA-PBE) for a relaxed structure of Ca2LaSc.

Properties
Crystal system: tetragonal
Total moment: 0.9 μB/f.u.
Formation enthalpy at 0 K: 455.5 meV/atom
ΔE to the lowest computed polymorph: 1.49 eV per formula unit
Electronic total energy: -13.4 eV per formula unit

Lattice parameters (Å, degrees): 9.169 9.169 7.304 51.12 51.12 90.00
Element x y z (fractional)
Sc (0.500, 0.500, 0.000)
Sc (0.250, 0.750, 0.500)
Ca (0.611, 0.125, 0.250)
Ca (0.139, 0.625, 0.250)
Ca (0.375, 0.389, 0.750)
Ca (0.875, 0.861, 0.750)
La (0.000, 0.000, 0.000)
La (0.750, 0.250, 0.500)



# 4
Density functional theory data (GGA-PBE) for a relaxed structure of Ho3ErCo.

Properties
Crystal system: monoclinic
Total moment: 0.0 μB/f.u.
Formation enthalpy at 0 K: -26.5 meV/atom
ΔE to the lowest computed polymorph: 0.45 eV per formula unit
Electronic total energy: -25.5 eV per formula unit

Lattice parameters (Å, degrees): 7.208 7.707 9.963 107.38 90.00 90.00
Element x y z (fractional)
Ho (0.128, 0.086, 0.394)
Ho (0.872, 0.914, 0.606)
Ho (0.628, 0.914, 0.106)
Ho (0.372, 0.086, 0.894)
Ho (0.491, 0.789, 0.381)
Ho (0.509, 0.211, 0.619)
Ho (0.991, 0.211, 0.119)
Ho (0.009, 0.789, 0.881)
Ho (0.205, 0.582, 0.531)
Ho (0.795, 0.418, 0.469)
Ho (0.705, 0.418, 0.969)
Ho (0.295, 0.582, 0.031)
Er (0.945, 0.690, 0.258)
Er (0.055, 0.310, 0.742)
Er (0.445, 0.310, 0.242)
Er (0.555, 0.690, 0.758)
Co (0.253, 0.956, 0.609)
Co (0.747, 0.044, 0.391)
Co (0.753, 0.044, 0.891)
Co (0.247, 0.956, 0.109)